The following is a PBE calculation of a relaxed structure of CsVS3, from the Alexandria database.

Values from the calculation:
- density (g cm⁻³) = 3.64
- energy above the lowest structure with this stoichiometry (eV/atom) = 0.274
- spin magnetization (μB/f.u.) = 0.00
- crystal system = cubic
- space group = Fd-3m (227)

a b c (Å): 8.9742 8.9742 8.9742
angles (deg): 60.00 60.00 60.00
Fractional coordinates of all 20 atoms:
Cs 0.0000 0.0000 0.0000
Cs 0.0000 0.0000 0.5000
Cs 0.0000 0.5000 0.0000
Cs 0.5000 0.0000 0.0000
V 0.0000 0.5000 0.5000
V 0.5000 0.0000 0.5000
V 0.5000 0.5000 0.0000
V 0.5000 0.5000 0.5000
S 0.1947 0.1947 0.5553
S 0.1947 0.5553 0.1947
S 0.1947 0.5553 0.5553
S 0.4447 0.4447 0.8053
S 0.4447 0.8053 0.4447
S 0.4447 0.8053 0.8053
S 0.5553 0.1947 0.1947
S 0.5553 0.1947 0.5553
S 0.5553 0.5553 0.1947
S 0.8053 0.4447 0.4447
S 0.8053 0.4447 0.8053
S 0.8053 0.8053 0.4447